BaSrEuCu3O7: optimized geometry, PBEsol.

```
BaSrEuCu3O7
1.0
3.7531 0.0000 0.0000
0.0000 3.8666 0.0000
0.0000 0.0000 11.4810
Ba Sr Eu Cu O
1 1 1 3 7
Direct
0.0000 0.0000 0.0000
0.0000 0.0000 0.3606
0.0000 0.0000 0.6753
0.5000 0.5000 0.1829
0.5000 0.5000 0.5225
0.5000 0.5000 0.8292
0.0000 0.5000 0.5468
0.0000 0.5000 0.8033
0.5000 0.0000 0.1934
0.5000 0.0000 0.5421
0.5000 0.0000 0.8064
0.5000 0.5000 0.0215
0.5000 0.5000 0.3434
```

Symmetry: No. 25



Cu3Au2: optimized geometry, PBEsol.

```
Cu3Au2
1.0
0.0000 6.4000 2.3986
4.4767 0.0000 2.3986
4.4767 6.4000 0.0000
Cu Au
6 4
Direct
0.0000 0.0000 0.0000
0.2500 0.2500 0.2500
0.3839 0.5021 0.4182
0.5021 0.3839 0.6958
0.5542 0.8318 0.7479
0.8318 0.5542 0.8661
0.0856 0.7548 0.3098
0.4002 0.9402 0.4952
0.7548 0.0856 0.8498
0.9402 0.4002 0.1644
```

Energy of formation, kJ/mol of formula units: -1
Energy above the most stable polymorph in this dataset, meV/atom: 24
Symmetry: No. 43



Rb3NaNi: optimized geometry, PBEsol.

```
Rb3NaNi
1.0
6.4205 0.0000 0.0000
0.0000 6.4205 0.0000
0.0000 0.0000 6.4205
Rb Na Ni
3 1 1
Direct
0.0000 0.0000 0.5000
0.0000 0.5000 0.0000
0.5000 0.0000 0.0000
0.5000 0.5000 0.5000
0.0000 0.0000 0.0000
```

Energy of formation, kJ/mol of formula units: 243
Symmetry: No. 221



Li17Cu12: optimized geometry, PBEsol.

```
Li17Cu12
1.0
-4.6328 4.6328 4.6328
4.6328 -4.6328 4.6328
4.6328 4.6328 -4.6328
Li Cu
17 12
Direct
0.0000 0.0000 0.0000
0.0000 0.0000 0.6517
0.0000 0.4155 0.6893
0.0000 0.6517 0.0000
0.0000 0.6893 0.4155
0.2738 0.5845 0.5845
0.3107 0.3107 0.7262
0.3107 0.7262 0.3107
0.3483 0.3483 0.3483
0.4155 0.0000 0.6893
0.4155 0.6893 0.0000
0.5845 0.2738 0.5845
0.5845 0.5845 0.2738
0.6517 0.0000 0.0000
0.6893 0.0000 0.4155
0.6893 0.4155 0.0000
0.7262 0.3107 0.3107
0.0000 0.1840 0.3675
0.0000 0.3675 0.1840
0.1840 0.0000 0.3675
0.1840 0.3675 0.0000
0.1835 0.8160 0.8160
0.3675 0.0000 0.1840
0.3675 0.1840 0.0000
0.6325 0.6325 0.8165
0.6325 0.8165 0.6325
0.8160 0.1835 0.8160
0.8165 0.6325 0.6325
0.8160 0.8160 0.1835
```

Energy of formation, kJ/mol of formula units: 62
Symmetry: No. 217



| no. | spin magnetization (μB per formula unit) | E_tot (eV per atom) |
| --- | --- | --- |
| 1 | 5.9 | -6.684 |
| 2 | 0.0 | -4.172 |
| 3 | 0.2 | -1.624 |
| 4 | 0.0 | -2.924 |